No. 1
Entry from the Alexandria database: crystalline Li3B8C8 at its relaxed geometry (PBE).

Cell and atoms, written as CIF:
```
data_Li3B8C8
_symmetry_space_group_name_H-M 'P 1 2/m 1'
_symmetry_Int_Tables_number 10
_cell_length_a 4.5299
_cell_length_b 2.7146
_cell_length_c 13.9801
_cell_angle_alpha 90.00
_cell_angle_beta 94.28
_cell_angle_gamma 90.00
loop_
_symmetry_equiv_pos_as_xyz
'x,y,z'
'-x,-y,-z'
'-x,y,-z'
'x,-y,z'
loop_
_atom_site_label
_atom_site_type_symbol
_atom_site_fract_x
_atom_site_fract_y
_atom_site_fract_z
_atom_site_occupancy
Li1 Li 0.0000 0.0000 0.0000 1
Li2 Li 0.4509 0.5000 0.7405 1
B1 B 0.0923 0.5000 0.8565 1
B2 B 0.2215 0.0000 0.5831 1
B3 B 0.2880 0.5000 0.3991 1
B4 B 0.4005 0.0000 0.1201 1
C1 C 0.0326 0.5000 0.5569 1
C2 C 0.2399 0.5000 0.1200 1
C3 C 0.2541 0.0000 0.8559 1
C4 C 0.4481 0.0000 0.3854 1
```

Summary:
DFT total energy in eV/atom: -6.9652
E_form in eV per formula unit: 0.61
Magnetization in μB per formula unit: 0.0
Theoretical density in g/cm3: 2.0

=====

No. 2
Entry from the Alexandria database: crystalline PmPrIr2 at its relaxed geometry (PBE).

Cell and atoms, written as CIF:
```
data_PmPrIr2
_symmetry_space_group_name_H-M 'P 4/m m m'
_symmetry_Int_Tables_number 123
_symmetry_space_group_name_Hall '-P 4 2'
_cell_length_a 4.9301
_cell_length_b 4.9301
_cell_length_c 3.6724
_cell_angle_alpha 90.00
_cell_angle_beta 90.00
_cell_angle_gamma 90.00
loop_
_atom_site_label
_atom_site_type_symbol
_atom_site_fract_x
_atom_site_fract_y
_atom_site_fract_z
_atom_site_occupancy
Pm1 Pm 0.0000 0.0000 0.0000 1
Pr1 Pr 0.5000 0.5000 0.0000 1
Ir1 Ir 0.0000 0.5000 0.5000 1
```

Summary:
DFT total energy in eV/atom: -7.3531
E_form in eV per formula unit: -2.16
Magnetization in μB per formula unit: 0.0
Theoretical density in g/cm3: 12.5

=====

No. 3
Entry from the Alexandria database: crystalline AgIrBr2 at its relaxed geometry (PBE).

Cell and atoms, written as CIF:
```
data_AgIrBr2
_symmetry_space_group_name_H-M 'P 4 m m'
_symmetry_Int_Tables_number 99
_cell_length_a 3.2150
_cell_length_b 3.2150
_cell_length_c 8.5370
_cell_angle_alpha 90.00
_cell_angle_beta 90.00
_cell_angle_gamma 90.00
loop_
_symmetry_equiv_pos_as_xyz
'x,y,z'
'-y,x,z'
'-x,-y,z'
'y,-x,z'
'-x,y,z'
'y,x,z'
'x,-y,z'
'-y,-x,z'
loop_
_atom_site_label
_atom_site_type_symbol
_atom_site_fract_x
_atom_site_fract_y
_atom_site_fract_z
_atom_site_occupancy
Ag1 Ag 0.0000 0.0000 0.0000 1
Ir1 Ir 0.5000 0.5000 0.7823 1
Br1 Br 0.0000 0.0000 0.6114 1
Br2 Br 0.5000 0.5000 0.2229 1
```

Summary:
DFT total energy in eV/atom: -3.1742
Magnetization in μB per formula unit: 1.4
Formation energy from raw total energies in kcal/mol of atoms: 13.61
Theoretical density in g/cm3: 8.7

=====

No. 4
Entry from the Alexandria database: crystalline AcLuTlPb at its relaxed geometry (PBE).

Cell and atoms, written as CIF:
```
data_AcLuTlPb
_symmetry_space_group_name_H-M 'F -4 3 m'
_symmetry_Int_Tables_number 216
_symmetry_space_group_name_Hall 'F -4 2 3'
_cell_length_a 7.9500
_cell_length_b 7.9500
_cell_length_c 7.9500
_cell_angle_alpha 90.00
_cell_angle_beta 90.00
_cell_angle_gamma 90.00
loop_
_atom_site_label
_atom_site_type_symbol
_atom_site_fract_x
_atom_site_fract_y
_atom_site_fract_z
_atom_site_occupancy
Ac1 Ac 0.0000 0.0000 0.0000 1
Lu1 Lu 0.0000 0.0000 0.5000 1
Tl1 Tl 0.2500 0.2500 0.2500 1
Pb1 Pb 0.2500 0.2500 0.7500 1
```

Summary:
DFT total energy in eV/atom: -3.9909
E_form in eV per formula unit: -1.26
Magnetization in μB per formula unit: 0.0
Theoretical density in g/cm3: 10.8

=====

No. 5
Entry from the Alexandria database: crystalline K2CaThS4 at its relaxed geometry (PBE).

Cell and atoms, written as CIF:
```
data_K2CaThS4
_symmetry_space_group_name_H-M 'P 1 2/m 1'
_symmetry_Int_Tables_number 10
_cell_length_a 7.2023
_cell_length_b 4.2187
_cell_length_c 7.7437
_cell_angle_alpha 90.00
_cell_angle_beta 108.22
_cell_angle_gamma 90.00
loop_
_symmetry_equiv_pos_as_xyz
'x,y,z'
'-x,-y,-z'
'-x,y,-z'
'x,-y,z'
loop_
_atom_site_label
_atom_site_type_symbol
_atom_site_fract_x
_atom_site_fract_y
_atom_site_fract_z
_atom_site_occupancy
K1 K 0.0000 0.0000 0.0000 1
K2 K 0.5000 0.5000 0.0000 1
Ca1 Ca 0.0000 0.5000 0.5000 1
Th1 Th 0.5000 0.0000 0.5000 1
S1 S 0.2454 0.0000 0.7033 1
S2 S 0.2734 0.5000 0.2941 1
```

Summary:
DFT total energy in eV/atom: -5.3365
Magnetization in μB per formula unit: 0.0
Formation energy from raw total energies in kcal/mol of atoms: -41.99
Theoretical density in g/cm3: 3.6

=====

No. 6
Entry from the Alexandria database: crystalline HoCd2Ge at its relaxed geometry (PBE).

Cell and atoms, written as CIF:
```
data_HoCd2Ge
_symmetry_space_group_name_H-M 'P 4/m m m'
_symmetry_Int_Tables_number 123
_symmetry_space_group_name_Hall '-P 4 2'
_cell_length_a 4.2506
_cell_length_b 4.2506
_cell_length_c 4.9009
_cell_angle_alpha 90.00
_cell_angle_beta 90.00
_cell_angle_gamma 90.00
loop_
_atom_site_label
_atom_site_type_symbol
_atom_site_fract_x
_atom_site_fract_y
_atom_site_fract_z
_atom_site_occupancy
Ho1 Ho 0.0000 0.0000 0.0000 1
Cd1 Cd 0.0000 0.5000 0.5000 1
Ge1 Ge 0.5000 0.5000 0.0000 1
```

Summary:
DFT total energy in eV/atom: -3.1414
E_form in eV per formula unit: -1.54
Magnetization in μB per formula unit: 0.0
Theoretical density in g/cm3: 8.7

=====

No. 7
Entry from the Alexandria database: crystalline CdHgAu2 at its relaxed geometry (PBE).

Cell and atoms, written as CIF:
```
data_CdHgAu2
_symmetry_space_group_name_H-M 'F m -3 m'
_symmetry_Int_Tables_number 225
_symmetry_space_group_name_Hall '-F 4 2 3'
_cell_length_a 6.8228
_cell_length_b 6.8228
_cell_length_c 6.8228
_cell_angle_alpha 90.00
_cell_angle_beta 90.00
_cell_angle_gamma 90.00
loop_
_atom_site_label
_atom_site_type_symbol
_atom_site_fract_x
_atom_site_fract_y
_atom_site_fract_z
_atom_site_occupancy
Cd1 Cd 0.0000 0.0000 0.0000 1
Hg1 Hg 0.0000 0.0000 0.5000 1
Au1 Au 0.2500 0.2500 0.2500 1
```

Summary:
DFT total energy in eV/atom: -1.9675
E_form in eV per formula unit: -0.10
Magnetization in μB per formula unit: 0.0
Theoretical density in g/cm3: 14.8

=====

No. 8
Entry from the Alexandria database: crystalline Pm5ThSn3 at its relaxed geometry (PBE).

Cell and atoms, written as CIF:
```
data_Pm5ThSn3
_symmetry_space_group_name_H-M 'I 4/m c m'
_symmetry_Int_Tables_number 140
_symmetry_space_group_name_Hall '-I 4 2c'
_cell_length_a 7.7687
_cell_length_b 7.7687
_cell_length_c 18.8882
_cell_angle_alpha 90.00
_cell_angle_beta 90.00
_cell_angle_gamma 90.00
loop_
_atom_site_label
_atom_site_type_symbol
_atom_site_fract_x
_atom_site_fract_y
_atom_site_fract_z
_atom_site_occupancy
Pm1 Pm 0.0000 0.0000 0.0000 1
Pm2 Pm 0.1998 0.3002 0.1288 1
Th1 Th 0.0000 0.5000 0.2500 1
Sn1 Sn 0.0000 0.0000 0.2500 1
Sn2 Sn 0.1243 0.3757 0.5000 1
```

Summary:
DFT total energy in eV/atom: -5.0527
E_form in eV per formula unit: -2.29
Magnetization in μB per formula unit: 0.0
Theoretical density in g/cm3: 7.7

=====

No. 9
Entry from the Alexandria database: crystalline NaAg3S at its relaxed geometry (PBE).

Cell and atoms, written as CIF:
```
data_NaAg3S
_symmetry_space_group_name_H-M 'P m -3 m'
_symmetry_Int_Tables_number 221
_symmetry_space_group_name_Hall '-P 4 2 3'
_cell_length_a 4.9162
_cell_length_b 4.9162
_cell_length_c 4.9162
_cell_angle_alpha 90.00
_cell_angle_beta 90.00
_cell_angle_gamma 90.00
loop_
_atom_site_label
_atom_site_type_symbol
_atom_site_fract_x
_atom_site_fract_y
_atom_site_fract_z
_atom_site_occupancy
Na1 Na 0.0000 0.0000 0.0000 1
Ag1 Ag 0.0000 0.0000 0.5000 1
S1 S 0.5000 0.5000 0.5000 1
```

Summary:
DFT total energy in eV/atom: -1.8868
Magnetization in μB per formula unit: 0.0
Formation energy from raw total energies in kcal/mol of atoms: 21.06
Theoretical density in g/cm3: 5.3

=====

No. 10
Entry from the Alexandria database: crystalline Na2PdPt at its relaxed geometry (PBE).

Cell and atoms, written as CIF:
```
data_Na2PdPt
_symmetry_space_group_name_H-M 'R -3 m'
_symmetry_Int_Tables_number 166
_symmetry_space_group_name_Hall '-R 3 2"'
_cell_length_a 2.8367
_cell_length_b 2.8367
_cell_length_c 30.8623
_cell_angle_alpha 90.00
_cell_angle_beta 90.00
_cell_angle_gamma 120.00
loop_
_atom_site_label
_atom_site_type_symbol
_atom_site_fract_x
_atom_site_fract_y
_atom_site_fract_z
_atom_site_occupancy
Na1 Na 0.0000 0.0000 0.0883 1
Pd1 Pd 0.0000 0.0000 0.5000 1
Pt1 Pt 0.0000 0.0000 0.0000 1
```

Summary:
DFT total energy in eV/atom: -3.4703
E_form in eV per formula unit: -0.01
Magnetization in μB per formula unit: 0.0
Theoretical density in g/cm3: 8.0

=====

No. 11
Entry from the Alexandria database: crystalline BeAlPCl2 at its relaxed geometry (PBE).

Cell and atoms, written as CIF:
```
data_BeAlPCl2
_symmetry_space_group_name_H-M 'P 4/m m m'
_symmetry_Int_Tables_number 123
_symmetry_space_group_name_Hall '-P 4 2'
_cell_length_a 4.1561
_cell_length_b 4.1561
_cell_length_c 5.4801
_cell_angle_alpha 90.00
_cell_angle_beta 90.00
_cell_angle_gamma 90.00
loop_
_atom_site_label
_atom_site_type_symbol
_atom_site_fract_x
_atom_site_fract_y
_atom_site_fract_z
_atom_site_occupancy
Be1 Be 0.0000 0.0000 0.0000 1
Al1 Al 0.5000 0.5000 0.5000 1
P1 P 0.0000 0.0000 0.5000 1
Cl1 Cl 0.0000 0.5000 0.0000 1
```

Summary:
DFT total energy in eV/atom: -3.3504
Magnetization in μB per formula unit: 0.5
Formation energy from raw total energies in kcal/mol of atoms: -0.83
Theoretical density in g/cm3: 2.4

=====

No. 12
Entry from the Alexandria database: crystalline AcSmNi4 at its relaxed geometry (PBE).

Cell and atoms, written as CIF:
```
data_AcSmNi4
_symmetry_space_group_name_H-M 'P m m m'
_symmetry_Int_Tables_number 47
_cell_length_a 4.0203
_cell_length_b 4.0872
_cell_length_c 7.0970
_cell_angle_alpha 90.00
_cell_angle_beta 90.00
_cell_angle_gamma 90.00
loop_
_symmetry_equiv_pos_as_xyz
'x,y,z'
'-x,-y,-z'
'-x,-y,z'
'x,y,-z'
'x,-y,-z'
'-x,y,z'
'-x,y,-z'
'x,-y,z'
loop_
_atom_site_label
_atom_site_type_symbol
_atom_site_fract_x
_atom_site_fract_y
_atom_site_fract_z
_atom_site_occupancy
Ac1 Ac 0.0000 0.0000 0.0000 1
Sm1 Sm 0.0000 0.5000 0.5000 1
Ni1 Ni 0.5000 0.0000 0.3384 1
Ni2 Ni 0.5000 0.5000 0.1735 1
```

Summary:
DFT total energy in eV/atom: -5.6149
E_form in eV per formula unit: -1.74
Magnetization in μB per formula unit: 0.3
Theoretical density in g/cm3: 8.7